No. 1
A relaxed MgRu2W crystal. Source: Alexandria, functional PBEsol. Values from VASP.

Properties
The value obtained for the formation energy from the elements is -66 meV per atom. Its symmetry is P4/mmm, No. 123. The value obtained for the total DFT energy (no corrections) is -36.1 eV/f.u. As for the magnetization: 0.00 μB/f.u.

Cell and atoms, written as Quantum ESPRESSO input:
```
&SYSTEM
  ibrav = 0, nat = 4, ntyp = 3
/
ATOMIC_SPECIES
Ru 101.07 Ru.upf
Mg 24.30 Mg.upf
W 183.84 W.upf
CELL_PARAMETERS angstrom
-0.295 -1.884 -2.407
2.187 -1.819 1.156
-4.340 -3.260 3.083
ATOMIC_POSITIONS crystal
Ru 0.000 0.000 0.236
Ru 0.000 0.000 0.764
Mg 0.500 0.500 0.500
W 0.500 0.500 0.000
```

No. 2
A relaxed YMg2Ru crystal. Source: Alexandria, functional PBEsol. Values from VASP.

Properties
The value obtained for the formation energy from the elements is -86 meV per atom. Its symmetry is P4mm, No. 99. The value obtained for the total DFT energy (no corrections) is -20.8 eV/f.u. As for the magnetization: 0.00 μB/f.u.

Cell and atoms, written as Quantum ESPRESSO input:
```
&SYSTEM
  ibrav = 0, nat = 4, ntyp = 3
/
ATOMIC_SPECIES
Mg 24.30 Mg.upf
Ru 101.07 Ru.upf
Y 88.91 Y.upf
CELL_PARAMETERS angstrom
-2.943 0.071 -1.570
1.463 -1.092 -2.793
-1.290 -7.093 2.097
ATOMIC_POSITIONS crystal
Mg 0.000 0.000 0.035
Mg 0.500 0.500 0.294
Ru 0.000 0.000 0.480
Y 0.500 0.500 0.691
```